1.
A plane-wave DFT calculation with PBE was carried out for crystalline RbCePSe at its relaxed geometry.

## Properties
- VASP energy: -5.176 eV per atom
- Crystal system: trigonal
- ΔE_f (raw): -1.2274 eV per atom

extended XYZ file:
```
4
Lattice="-0.656 0.559 -4.190 -1.259 -3.621 1.898 -6.257 4.122 3.713" Properties=species:S:1:pos:R:3 pbc="T T T"
Rb -3.341 0.634 -1.988
Ce -6.440 1.812 3.021
Se -4.774 2.529 0.672
P -1.559 -3.161 1.594
```

2.
A plane-wave DFT calculation with PBE was carried out for crystalline Rb3CeP2Se8 at its relaxed geometry.

## Properties
- VASP energy: -4.299 eV per atom
- Crystal system: monoclinic
- ΔE_f (raw): -0.9034 eV per atom

extended XYZ file:
```
56
Lattice="18.402 0.000 0.000 0.000 9.998 0.327 0.000 0.518 10.417" Properties=species:S:1:pos:R:3 pbc="T T T"
Rb 13.075 9.136 1.868
Rb 0.823 2.894 10.367
Rb 5.231 6.435 4.125
Rb 5.327 1.381 8.876
Rb 14.528 9.395 7.076
Rb 17.578 7.623 0.376
Rb 14.432 3.823 1.410
Rb 3.970 6.694 9.334
Rb 3.874 1.122 3.667
Rb 10.024 7.882 5.585
Rb 8.377 2.635 5.159
Rb 13.171 4.082 6.618
Se 7.451 7.673 7.905
Se 6.804 1.924 1.565
Se 6.360 8.347 1.284
Se 15.037 6.326 8.868
Se 1.973 5.052 5.226
Se 11.174 5.206 0.309
Se 9.602 9.752 2.128
Se 6.929 9.491 4.693
Se 12.042 2.170 9.459
Se 2.397 2.183 6.773
Se 0.279 6.195 8.130
Se 5.836 4.449 7.084
Se 8.800 0.765 8.616
Se 0.401 0.506 3.407
Se 7.228 5.311 10.434
Se 16.428 5.465 5.517
Se 16.005 8.334 3.970
Se 1.750 7.414 2.696
Se 11.473 1.025 6.050
Se 15.561 1.911 4.251
Se 8.922 5.936 2.922
Se 10.951 2.844 2.839
Se 18.123 4.322 2.613
Se 2.841 8.606 6.493
Se 2.272 9.750 9.901
Se 16.652 3.103 8.047
Se 9.480 4.581 7.821
Se 11.598 8.593 9.179
Se 12.566 6.067 3.660
Se 16.130 0.766 0.842
Se 3.365 4.190 1.875
Se 18.001 10.011 7.336
P 7.390 9.861 2.576
P 11.012 0.655 8.167
P 16.659 5.320 7.761
P 1.811 10.120 7.785
P 7.458 5.456 8.191
P 1.743 5.197 2.982
P 16.591 0.396 2.958
P 10.944 5.060 2.553
Ce 9.429 2.604 0.201
Ce 0.228 7.654 5.334
Ce 8.973 7.913 10.542
Ce 18.174 2.863 5.409
```

- What is the VASP energy in the first record?
  -5.176 eV per atom